DFT (PBE) results for a geometry-optimized LiTmZnSe3 structure.

Unit cell a=12.088 b=3.966 c=11.556 alpha=90.00 beta=90.00 gamma=90.00
Sites, in units of the cell vectors:
1 Li 0.119 0.250 0.014
2 Li 0.381 0.750 0.514
3 Li 0.619 0.250 0.486
4 Li 0.881 0.750 0.986
5 Tm 0.046 0.250 0.675
6 Tm 0.454 0.750 0.175
7 Tm 0.546 0.250 0.825
8 Tm 0.954 0.750 0.325
9 Zn 0.237 0.250 0.287
10 Zn 0.263 0.750 0.787
11 Zn 0.737 0.250 0.213
12 Zn 0.763 0.750 0.713
13 Se 0.069 0.750 0.857
14 Se 0.087 0.250 0.424
15 Se 0.221 0.750 0.156
16 Se 0.279 0.250 0.656
17 Se 0.413 0.750 0.924
18 Se 0.431 0.250 0.357
19 Se 0.569 0.750 0.643
20 Se 0.587 0.250 0.076
21 Se 0.721 0.750 0.344
22 Se 0.779 0.250 0.844
23 Se 0.913 0.750 0.576
24 Se 0.931 0.250 0.143

ΔE to the lowest computed polymorph = 0.07 eV per formula unit
Symmetry = Pnma (62)